Compound: Th6AsPt2S3
Source: Alexandria via LeMat-Bulk
Functional: PBE
Structure: relaxed

Calculated values
volume	25.51	Å³/atom
magnetic moment	0.0	μB per formula unit
mass density	10.60	g/cm³
Fermi-level density of states	20.29	states/eV per cell
energy relative to the elements, uncorrected	-1.487	eV/atom
calculated total energy	-7.62	eV per atom

Unit cell a=18.1563 b=4.0972 c=8.4253 alpha=90.00 beta=102.33 gamma=90.00
Last column: nearest neighbours and their distance in Å.
Space group C2/m (No. 12)
Symmetry-distinct sites (fractional):
Th  0.0015  0.0000  0.2438 (multiplicity 4)  3 S 2.90-2.92, 1 Pt 2.97, 2 As 2.98
Th  0.1662  0.5000  0.0791 (multiplicity 4)  3 Pt 2.92-2.98, 3 S 2.95-2.97
Th  0.1681  0.5000  0.5852 (multiplicity 4)  2 Pt 2.92, 3 S 2.94, 1 As 2.98
As  0.0000  0.5000  0.5000 (multiplicity 2)  6 Th 2.98
Pt  0.1661  0.0000  0.8315 (multiplicity 4)  6 Th 2.92-2.98
S  0.0000  0.5000  0.0000 (multiplicity 2)  6 Th 2.90-2.95
S  0.1662  0.0000  0.3338 (multiplicity 4)  6 Th 2.92-2.97


Compound: Ir4Rh
Source: Alexandria via LeMat-Bulk
Functional: PBE
Structure: relaxed

Calculated values
volume	14.47	Å³/atom
magnetic moment	0.0	μB per formula unit
mass density	20.01	g/cm³
Fermi-level density of states	16.28	states/eV per cell
calculated total energy	-8.57	eV per atom

Unit cell a=2.7340 b=2.7340 c=33.5234 alpha=90.00 beta=90.00 gamma=120.00
Last column: nearest neighbours and their distance in Å.
Space group R-3m (No. 166, hexagonal axes)
Symmetry-distinct sites (fractional):
Ir  0.0000  0.0000  0.1000 (multiplicity 6)  9 Ir 2.73, 3 Rh 2.74
Ir  0.0000  0.0000  0.2999 (multiplicity 6)  12 Ir 2.73-2.74
Rh  0.0000  0.0000  0.5000 (multiplicity 3)  6 Rh 2.73, 6 Ir 2.74


Compound: Ca2Si5Pd3
Source: Alexandria via LeMat-Bulk
Functional: PBE
Structure: relaxed

Calculated values
volume	17.53	Å³/atom
magnetic moment	0.0	μB per formula unit
mass density	5.11	g/cm³
Fermi-level density of states	14.45	states/eV per cell
energy relative to the elements, uncorrected	-0.663	eV/atom
calculated total energy	-5.33	eV per atom

Unit cell a=10.0907 b=11.9132 c=5.8321 alpha=90.00 beta=90.00 gamma=90.00
Last column: nearest neighbours and their distance in Å.
Space group Ibam (No. 72)
Symmetry-distinct sites (fractional):
Ca  0.2349  0.1290  0.0000 (multiplicity 8)  10 Si 3.11-3.29, 6 Pd 3.17-3.41
Si  0.0000  0.0000  0.2500 (multiplicity 4)  4 Pd 2.47
Si  0.0000  0.2762  0.2500 (multiplicity 8)  3 Pd 2.47-2.67, 2 Si 2.49
Si  0.1509  0.3868  0.0000 (multiplicity 8)  3 Pd 2.41-2.50, 2 Si 2.49
Pd  0.0000  0.5000  0.2500 (multiplicity 4)  6 Si 2.50-2.67
Pd  0.1116  0.1380  0.5000 (multiplicity 8)  5 Si 2.41-2.47


Compound: Na3Pu2MnS6
Source: Alexandria via LeMat-Bulk
Functional: PBE
Structure: relaxed

Calculated values
volume	22.04	Å³/atom
magnetic moment	4.0	μB per formula unit
mass density	5.05	g/cm³
Fermi-level density of states	33.75	states/eV per cell
energy relative to the elements, uncorrected	-1.294	eV/atom
calculated total energy	-6.84	eV per atom

Unit cell a=6.7793 b=11.7425 c=7.0192 alpha=90.00 beta=108.78 gamma=90.00
Last column: nearest neighbours and their distance in Å.
Space group C2/m (No. 12)
Symmetry-distinct sites (fractional):
Na  0.0000  0.0000  0.0000 (multiplicity 2)  6 S 2.91-2.94
Na  0.0000  0.3342  0.0000 (multiplicity 4)  6 S 2.90-2.95
Pu  0.0000  0.1667  0.5000 (multiplicity 4)  6 S 2.71
Mn  0.0000  0.5000  0.5000 (multiplicity 2)  6 S 2.67
S  0.2384  0.3357  0.7220 (multiplicity 8)  1 Mn 2.67, 2 Pu 2.71, 3 Na 2.91-2.95
S  0.2453  0.0000  0.7220 (multiplicity 4)  1 Mn 2.67, 2 Pu 2.71, 3 Na 2.90-2.94


Compound: Rb3PdS2
Source: Alexandria via LeMat-Bulk
Functional: PBE
Structure: relaxed

Calculated values
volume	35.35	Å³/atom
magnetic moment	1.0	μB per formula unit
mass density	3.34	g/cm³
Fermi-level density of states	10.51	states/eV per cell
energy relative to the elements, uncorrected	-0.748	eV/atom
calculated total energy	-3.47	eV per atom

Unit cell a=8.1728 b=9.3258 c=5.5657 alpha=90.00 beta=90.00 gamma=90.00
Last column: nearest neighbours and their distance in Å.
Space group Pnnm (No. 58)
Symmetry-distinct sites (fractional):
Rb  0.0000  0.0000  0.0000 (multiplicity 2)  4 S 3.47, 4 Rb 3.87
Rb  0.0973  0.2753  0.5000 (multiplicity 4)  4 S 3.29-3.50, 2 Pd 3.57
Pd  0.0000  0.5000  0.0000 (multiplicity 2)  2 S 2.27
S  0.2370  0.9209  0.5000 (multiplicity 4)  1 Pd 2.27


Compound: Cs2Ga2Au
Source: Alexandria via LeMat-Bulk
Functional: PBE
Structure: relaxed

Calculated values
volume	32.73	Å³/atom
magnetic moment	0.0	μB per formula unit
mass density	6.11	g/cm³
Fermi-level density of states	5.86	states/eV per cell
calculated total energy	-2.19	eV per atom

Unit cell a=7.2544 b=7.2544 c=6.2200 alpha=90.00 beta=90.00 gamma=90.00
Last column: nearest neighbours and their distance in Å.
Space group P4/mbm (No. 127)
Symmetry-distinct sites (fractional):
Cs  0.1915  0.3085  0.0000 (multiplicity 4)  6 Ga 3.63-3.90, 5 Cs 3.73-3.93
Ga  0.1268  0.6268  0.5000 (multiplicity 4)  1 Ga 2.60, 2 Au 2.86
Au  0.0000  0.0000  0.5000 (multiplicity 2)  4 Ga 2.86


Compound: ScInAg2
Source: Alexandria via LeMat-Bulk
Functional: PBE
Structure: relaxed

Calculated values
volume	20.42	Å³/atom
magnetic moment	0.0	μB per formula unit
mass density	7.63	g/cm³
Fermi-level density of states	1.87	states/eV per cell
calculated total energy	-3.85	eV per atom

Unit cell a=3.2527 b=4.9044 c=5.1200 alpha=90.00 beta=90.00 gamma=90.00
Last column: nearest neighbours and their distance in Å.
Space group Pmm2 (No. 25)
Symmetry-distinct sites (fractional):
Sc  0.0000  0.0000  0.0000 (multiplicity 1)  6 Ag 3.01-3.05, 4 In 3.04, 2 Sc 3.25
In  0.5000  0.5000  0.1530 (multiplicity 1)  6 Ag 3.01-3.06, 4 Sc 3.04, 2 In 3.25
Ag  0.0000  0.5000  0.6477 (multiplicity 1)  4 In 3.01-3.06, 6 Ag 3.04-3.25, 2 Sc 3.04
Ag  0.5000  0.0000  0.4956 (multiplicity 1)  4 Sc 3.01-3.05, 2 In 3.02, 6 Ag 3.04-3.25


Q: Which value of calculated total energy does entry 6 give?
A: -2.19 eV per atom


Q: Number 1 is which compound?
A: Th6AsPt2S3


Please write out number 3 again, unchanged.
Compound: Ca2Si5Pd3
Source: Alexandria via LeMat-Bulk
Functional: PBE
Structure: relaxed

Calculated values
volume	17.53	Å³/atom
magnetic moment	0.0	μB per formula unit
mass density	5.11	g/cm³
Fermi-level density of states	14.45	states/eV per cell
energy relative to the elements, uncorrected	-0.663	eV/atom
calculated total energy	-5.33	eV per atom

Unit cell a=10.0907 b=11.9132 c=5.8321 alpha=90.00 beta=90.00 gamma=90.00
Last column: nearest neighbours and their distance in Å.
Space group Ibam (No. 72)
Symmetry-distinct sites (fractional):
Ca  0.2349  0.1290  0.0000 (multiplicity 8)  10 Si 3.11-3.29, 6 Pd 3.17-3.41
Si  0.0000  0.0000  0.2500 (multiplicity 4)  4 Pd 2.47
Si  0.0000  0.2762  0.2500 (multiplicity 8)  3 Pd 2.47-2.67, 2 Si 2.49
Si  0.1509  0.3868  0.0000 (multiplicity 8)  3 Pd 2.41-2.50, 2 Si 2.49
Pd  0.0000  0.5000  0.2500 (multiplicity 4)  6 Si 2.50-2.67
Pd  0.1116  0.1380  0.5000 (multiplicity 8)  5 Si 2.41-2.47